The following is a PBE calculation of a relaxed Si3NiI crystal, from Alexandria.

- VASP energy: -48.4 eV/cell
- Distance to the lowest polymorph of the same formula: 0.00 eV per formula unit
- Total moment: 0.00 μB/f.u.

Unit cell a=3.7725 b=13.5414 c=4.0624 alpha=90.00 beta=90.00 gamma=90.00
Space group Pmn2_1 (No. 31)
Unique sites:
Si 0.0000 0.0045 0.0000
Si 0.0000 0.1921 0.9724
Si 0.0000 0.7955 0.8282
Ni 0.0000 0.0992 0.5001
I 0.0000 0.6224 0.0448